1.
This record from the Alexandria database describes K2Mg5Cd12 after structural relaxation. The functional is PBE-GGA.

Cell lengths 10.3538, 10.3538, 15.3333 Å; angles 90.00, 90.00, 120.00 degrees
Space group R-3m (No. 166, hexagonal axes)
One atom of each set of equivalent atoms:
K1 0.0000 0.0000 0.1547
Mg1 0.0000 0.0000 0.3999
Mg2 0.0000 0.5000 0.0000
Cd1 0.0000 0.2919 0.5000
Cd2 0.0041 0.5021 0.3528

Values from the calculation:
The total magnetization comes out at 0.00 μB/f.u. Its formation energy is -0.09 eV/atom. The value obtained for the density of states at the Fermi level is 18.68 states/eV/cell. The calculation puts the uncorrected energy at -22.831 eV per formula unit. The calculation puts the theoretical density at 5.419 g cm⁻³.

2.
This record from the Alexandria database describes RbTcOs2Cl after structural relaxation. The functional is PBE-GGA.

Cell lengths 4.630, 4.630, 7.998 Å; angles 90.00, 90.00, 90.00 degrees
Space group P4/mmm (No. 123)
One atom of each set of equivalent atoms:
Rb1 0.000 0.000 0.000
Tc1 0.000 0.000 0.500
Os1 0.000 0.500 0.500
Cl1 0.500 0.500 0.000

Values from the calculation:
The total magnetization comes out at 1.99 μB/f.u. The value obtained for the uncorrected formation energy is 1.4588 eV per atom. The value obtained for the density of states at the Fermi level is 6.64 states/eV/cell. The calculation puts the uncorrected energy at -28.346 eV per formula unit. The calculation puts the theoretical density at 5.806 g cm⁻³.

3.
This record from the Alexandria database describes FeTc3Cl after structural relaxation. The functional is PBE-GGA.

Cell lengths 4.313, 4.313, 4.313 Å; angles 90.00, 90.00, 90.00 degrees
Space group Pm-3m (No. 221)
One atom of each set of equivalent atoms:
Fe1 0.000 0.000 0.000
Tc1 0.000 0.500 0.500
Cl1 0.500 0.500 0.500

Values from the calculation:
The total magnetization comes out at 2.45 μB/f.u. As for the distance to the lowest polymorph of the same formula: 0.0 meV per atom. The value obtained for the uncorrected formation energy is 1.2205 eV per atom. The value obtained for the density of states at the Fermi level is 5.59 states/eV/cell. The calculation puts the uncorrected energy at -35.305 eV per formula unit. The calculation puts the theoretical density at 7.976 g cm⁻³.

4.
This record from the Alexandria database describes YAsOs2 after structural relaxation. The functional is PBE-GGA.

Cell lengths 3.044, 3.044, 7.538 Å; angles 90.00, 90.00, 90.00 degrees
Space group P4mm (No. 99)
One atom of each set of equivalent atoms:
Y1 0.000 0.000 0.000
As1 0.500 0.500 0.305
Os1 0.000 0.000 0.504
Os2 0.500 0.500 0.727

Values from the calculation:
The total magnetization comes out at 0.00 μB/f.u. Its formation energy is 0.09 eV/atom. The value obtained for the density of states at the Fermi level is 3.51 states/eV/cell. The calculation puts the uncorrected energy at -33.229 eV per formula unit. The calculation puts the theoretical density at 12.939 g cm⁻³.

5.
This record from the Alexandria database describes LiCr3B after structural relaxation. The functional is PBE-GGA.

Cell lengths 3.797, 3.797, 3.797 Å; angles 90.00, 90.00, 90.00 degrees
Space group Pm-3m (No. 221)
One atom of each set of equivalent atoms:
Li1 0.000 0.000 0.000
Cr1 0.000 0.000 0.500
B1 0.500 0.500 0.500

Values from the calculation:
The total magnetization comes out at 1.86 μB/f.u. As for the distance to the lowest polymorph of the same formula: 1234.9 meV per atom. Its formation energy is 1.78 eV/atom. The value obtained for the density of states at the Fermi level is 4.26 states/eV/cell. The calculation puts the uncorrected energy at -28.573 eV per formula unit. The calculation puts the theoretical density at 5.271 g cm⁻³.

6.
This record from the Alexandria database describes NaLiMg3 after structural relaxation. The functional is PBE-GGA.

Cell lengths 5.475, 5.475, 5.475 Å; angles 90.00, 90.00, 90.00 degrees
Space group Pm-3m (No. 221)
One atom of each set of equivalent atoms:
Na1 0.000 0.000 0.000
Li1 0.500 0.500 0.500
Mg1 0.000 0.000 0.500

Values from the calculation:
The total magnetization comes out at 0.00 μB/f.u. As for the distance to the lowest polymorph of the same formula: 362.1 meV per atom. Its formation energy is 0.61 eV/atom. The value obtained for the density of states at the Fermi level is 3.19 states/eV/cell. The calculation puts the uncorrected energy at -4.961 eV per formula unit. The calculation puts the theoretical density at 1.040 g cm⁻³.

Q: Look up the total magnetization of the third one.
A: 2.45 μB/f.u.

Q: Number 3 is which compound?
A: FeTc3Cl